Entry 1:
YTm2MgAg4 | PBE | optimized geometry

Geometry as POSCAR:
```
YTm2MgAg4
1.0
-1.070 -4.637 1.554
-0.265 -3.749 -3.307
7.592 -4.296 0.472
Tm Mg Y Ag
2 1 1 4
Cartesian
1.634 -3.183 -0.311
4.623 -9.498 -0.970
3.128 -6.341 -0.640
0.000 0.000 0.000
1.691 -8.951 -1.355
4.566 -3.731 0.074
0.181 -5.791 -1.028
6.076 -6.891 -0.253
```

Summary:
Uncorrected energy: -3.849 eV/atom
Formation enthalpy at 0 K: -298 meV/atom


Entry 2:
YTmMgAg | PBE | optimized geometry

Geometry as POSCAR:
```
YTmMgAg
1.0
-0.528 3.669 0.118
-1.233 -0.065 -3.497
-6.803 -1.058 2.418
Ag Tm Mg Y
1 1 1 1
Cartesian
-1.672 1.679 -1.408
-2.347 -0.365 0.834
-4.970 1.166 -0.236
-5.887 -0.915 2.092
```

Summary:
Uncorrected energy: -4.042 eV/atom
Formation enthalpy at 0 K: -197 meV/atom
Distance to the lowest polymorph of the same formula: 0.0 meV per atom


Entry 3:
YTmMgAg | PBE | optimized geometry

Geometry as POSCAR:
```
YTmMgAg
1.0
5.220 0.000 0.000
2.610 4.521 0.000
2.610 1.507 4.263
Y Mg Tm Ag
1 1 1 1
Cartesian
7.831 4.521 3.197
5.220 3.014 2.131
2.610 1.507 1.066
0.000 0.000 0.000
```

Summary:
Uncorrected energy: -4.000 eV/atom
Formation enthalpy at 0 K: -155 meV/atom
Distance to the lowest polymorph of the same formula: 42.1 meV per atom


Entry 4:
Tm4MgZn2Ag | PBE | optimized geometry

Geometry as POSCAR:
```
Tm4MgZn2Ag
1.0
-4.633 1.060 1.774
-3.948 -2.899 -1.323
-1.468 -5.501 6.707
Ag Mg Zn Tm
1 1 2 4
Cartesian
-5.025 -3.670 3.579
0.000 0.000 0.000
-7.507 -5.609 5.507
-2.542 -1.732 1.651
-8.048 -3.711 2.962
-2.001 -3.629 4.196
-4.518 -5.448 5.964
-5.531 -1.892 1.194
```

Summary:
Uncorrected energy: -3.376 eV/atom
Formation enthalpy at 0 K: -266 meV/atom


Entry 5:
Mg2VAg | PBE | optimized geometry

Geometry as POSCAR:
```
Mg2VAg
1.0
2.894 0.000 0.000
1.447 2.506 0.000
1.447 0.835 10.263
Ag Mg V
1 2 1
Cartesian
2.894 1.671 5.131
4.341 2.506 2.727
1.447 0.835 7.535
0.000 0.000 0.000
```

Summary:
Uncorrected energy: -3.385 eV/atom
Formation enthalpy at 0 K: 405 meV/atom
Distance to the lowest polymorph of the same formula: 178.7 meV per atom


Entry 6:
Mg3VAg | PBE | optimized geometry

Geometry as POSCAR:
```
Mg3VAg
1.0
5.204 0.000 0.000
0.000 5.204 0.000
0.000 0.000 5.204
Mg V Ag
3 1 1
Cartesian
0.000 0.000 2.602
2.602 0.000 0.000
0.000 2.602 0.000
0.000 0.000 0.000
2.602 2.602 2.602
```

Summary:
Uncorrected energy: -2.399 eV/atom
Formation enthalpy at 0 K: 951 meV/atom
Distance to the lowest polymorph of the same formula: 309.3 meV per atom